Li2PdCl | PBE | relaxed

Energy above the most stable polymorph in this dataset = 0.0 kJ/mol of formula units
Electronic total energy = -26.5 eV/cell
V = 148 Å³/cell
Uncorrected formation energy = -592 meV/atom
Symmetry = I-42d, No. 122
Density of states at the Fermi level = 0.44 states/eV/f.u.
Spin magnetization = 0.000 μB per atom

abc: 6.458 6.458 5.790
angles: 56.10 56.10 90.00
Fractional coordinates of all 8 atoms:
Li  0.375  0.411  0.750
Li  0.589  0.125  0.250
Li  0.875  0.839  0.750
Li  0.161  0.625  0.250
Cl  0.250  0.750  0.500
Cl  0.500  0.500  0.000
Pd  0.000  0.000  0.000
Pd  0.750  0.250  0.500